No. 1
# RbSrErI6

A geometry-optimized RbSrErI6 structure (PBE, Alexandria via LeMat-Bulk).

Formation energy from raw total energies ... -1.525 eV per atom

```
RbSrErI6
1.0
-4.914 0.667 6.581
5.967 -5.682 -0.128
10.077 10.436 6.467
Rb Sr Er I
2 2 2 12
Direct
0.000 0.000 0.000
0.000 0.000 0.500
0.333 0.667 0.250
0.667 0.333 0.750
0.667 0.333 0.250
0.333 0.667 0.750
0.643 0.618 0.138
0.975 0.357 0.138
0.357 0.975 0.638
0.025 0.643 0.862
0.382 0.357 0.362
0.975 0.618 0.362
0.618 0.975 0.862
0.643 0.025 0.362
0.025 0.382 0.638
0.382 0.025 0.138
0.618 0.643 0.638
0.357 0.382 0.862
```


No. 2
# Rb2ErTlI6

A geometry-optimized Rb2ErTlI6 structure (PBE, Alexandria via LeMat-Bulk).

Formation energy from raw total energies ... -1.289 eV per atom

```
Rb2ErTlI6
1.0
-5.597 -5.173 4.526
2.956 -4.828 6.822
-2.334 2.248 8.364
Rb Er Tl I
2 1 1 6
Direct
0.539 0.538 0.384
0.029 0.029 0.913
0.323 0.323 0.032
0.817 0.817 0.549
0.555 0.185 0.260
0.185 0.999 0.260
0.999 0.555 0.260
0.454 0.652 0.786
0.652 0.108 0.786
0.108 0.454 0.786
```


No. 3
# RbErVI6

A geometry-optimized RbErVI6 structure (PBE, Alexandria via LeMat-Bulk).

Formation energy from raw total energies ... -1.083 eV per atom

```
RbErVI6
1.0
7.583 0.000 0.000
-3.791 6.567 0.000
0.000 0.000 16.716
Rb Er V I
2 2 2 12
Direct
0.000 0.000 0.000
0.000 0.000 0.500
0.667 0.333 0.250
0.333 0.667 0.750
0.333 0.667 0.250
0.667 0.333 0.750
0.626 0.641 0.149
0.015 0.374 0.149
0.374 0.015 0.649
0.985 0.626 0.851
0.359 0.374 0.351
0.015 0.641 0.351
0.641 0.015 0.851
0.626 0.985 0.351
0.985 0.359 0.649
0.359 0.985 0.149
0.641 0.626 0.649
0.374 0.359 0.851
```


No. 4
# ErReI

A geometry-optimized ErReI structure (PBE, Alexandria via LeMat-Bulk).

Formation energy from raw total energies ... -0.397 eV per atom

```
ErReI
1.0
4.019 -0.054 1.227
0.069 4.097 -0.050
0.423 -1.959 10.975
Re Er I
2 2 2
Direct
0.801 0.470 0.442
0.199 0.530 0.558
0.380 0.923 0.349
0.620 0.077 0.651
0.890 0.671 0.836
0.110 0.329 0.164
```


No. 5
# Er7RhI12

A geometry-optimized Er7RhI12 structure (PBE, Alexandria via LeMat-Bulk).

Formation energy from raw total energies ... -1.215 eV per atom

```
Er7RhI12
1.0
-2.761 -8.836 3.015
8.735 -1.052 -4.168
1.327 5.409 7.985
Er Rh I
7 1 12
Direct
0.980 0.708 0.907
0.292 0.093 0.020
0.093 0.020 0.292
0.500 0.500 0.500
0.907 0.980 0.708
0.708 0.907 0.980
0.020 0.292 0.093
0.000 0.000 0.000
0.932 0.328 0.777
0.672 0.223 0.068
0.463 0.163 0.386
0.837 0.614 0.537
0.223 0.068 0.672
0.614 0.537 0.837
0.386 0.463 0.163
0.777 0.932 0.328
0.163 0.386 0.463
0.537 0.837 0.614
0.328 0.777 0.932
0.068 0.672 0.223
```


No. 6
# SmErRhI

A geometry-optimized SmErRhI structure (PBE, Alexandria via LeMat-Bulk).

Formation energy from raw total energies ... -0.935 eV per atom

```
SmErRhI
1.0
4.084 0.000 0.000
-2.041 3.536 0.000
-2.042 -1.179 7.990
Sm Er Rh I
1 1 1 1
Direct
0.515 0.155 0.685
0.090 0.943 0.049
0.308 0.552 0.875
0.965 0.380 0.360
```